{
  "formula": "NaCdP",
  "functional": "PBE-GGA",
  "state": "optimized geometry",
  "final_energy_ev_per_cell": -7.6,
  "formation_enthalpy_0k_ev_per_atom": 0.03,
  "lattice_angstrom": [[3.8005, 0.0000, 0.0000], [0.0000, 3.8005, 0.0000], [-1.9003, -1.9003, 5.1109]],
  "species": ["P", "Na", "Cd"],
  "fractional_positions": [[0.8923, 0.8923, 0.7847], [0.6175, 0.6175, 0.2349], [0.3402, 0.3402, 0.6804]]
}